Material: MgCoPd
Method: DFT, PBE-GGA
State: relaxed

Unit cell a=4.201 b=4.201 c=4.201 alpha=60.00 beta=60.00 gamma=60.00
Element x y z (fractional)
Co  0.250  0.250  0.250
Mg  0.750  0.750  0.750
Pd  0.000  0.000  0.000

Calculated values
Final energy (eV/cell): -13.3
Space group: F-43m

Material: SrCuMoIr
Method: DFT, PBE-GGA
State: relaxed

Unit cell a=4.696 b=4.696 c=4.696 alpha=60.00 beta=60.00 gamma=60.00
Element x y z (fractional)
Cu  0.750  0.750  0.750
Mo  0.000  0.000  0.000
Sr  0.250  0.250  0.250
Ir  0.500  0.500  0.500

Calculated values
Space group: F-43m
Energy relative to the lowest polymorph listed for this composition (meV/atom): 464

Material: TbErSiCl2
Method: DFT, PBE-GGA
State: relaxed

Unit cell a=4.046 b=4.046 c=9.586 alpha=90.00 beta=90.00 gamma=120.00
Element x y z (fractional)
Cl  0.333  0.667  0.831
Cl  0.000  0.000  0.171
Er  0.333  0.667  0.332
Si  0.667  0.333  0.498
Tb  0.000  0.000  0.667

Calculated values
Final energy (eV/cell): -26.1
Space group: P3m1

Material: AlZnB5H21C6N5O10
Method: DFT, PBE-GGA
State: relaxed

Unit cell a=8.902 b=8.902 c=14.548 alpha=111.96 beta=111.96 gamma=48.90
Element x y z (fractional)
H  0.697  0.713  0.687
H  0.387  0.079  0.219
H  0.804  0.154  0.103
H  0.592  0.225  0.392
H  0.225  0.592  0.892
H  0.529  0.803  0.306
H  0.713  0.697  0.187
H  0.791  0.172  0.925
H  0.216  0.478  0.417
H  0.172  0.791  0.425
H  0.744  0.957  0.600
H  0.883  0.215  0.731
H  0.708  0.988  0.951
H  0.988  0.708  0.451
H  0.922  0.024  0.557
H  0.957  0.744  0.100
H  0.347  0.174  0.346
H  0.478  0.216  0.917
H  0.215  0.883  0.231
H  0.024  0.922  0.057
H  0.490  0.276  0.278
H  0.847  0.266  0.303
H  0.125  0.101  0.711
H  0.174  0.347  0.846
H  0.477  0.920  0.820
H  0.679  0.872  0.400
H  0.803  0.529  0.806
H  0.058  0.104  0.371
H  0.101  0.125  0.211
H  0.457  0.042  0.738
H  0.724  0.957  0.090
H  0.637  0.210  0.814
H  0.154  0.804  0.603
H  0.079  0.387  0.719
H  0.276  0.490  0.778
H  0.957  0.724  0.590
H  0.920  0.477  0.320
H  0.872  0.679  0.900
H  0.266  0.847  0.803
H  0.042  0.457  0.238
H  0.104  0.058  0.871
H  0.210  0.637  0.314
O  0.832  0.413  0.998
O  0.282  0.501  0.036
O  0.536  0.534  0.658
O  0.534  0.536  0.158
O  0.470  0.082  0.588
O  0.135  0.179  0.510
O  0.420  0.612  0.994
O  0.588  0.532  0.329
O  0.435  0.186  0.081
O  0.501  0.282  0.536
O  0.480  0.350  0.710
O  0.533  0.856  0.013
O  0.413  0.832  0.498
O  0.082  0.470  0.088
O  0.179  0.135  0.010
O  0.186  0.435  0.581
O  0.612  0.420  0.494
O  0.350  0.480  0.210
O  0.856  0.533  0.513
O  0.532  0.588  0.829
N  0.897  0.870  0.628
N  0.108  0.733  0.363
N  0.160  0.574  0.817
N  0.739  0.768  0.759
N  0.870  0.897  0.128
N  0.965  0.114  0.301
N  0.574  0.160  0.317
N  0.733  0.108  0.863
N  0.114  0.965  0.801
N  0.768  0.739  0.259
Zn  0.852  0.942  0.275
Zn  0.942  0.852  0.775
B  0.549  0.413  0.562
B  0.407  0.286  0.603
B  0.026  0.345  0.032
B  0.413  0.549  0.062
B  0.056  0.384  0.535
B  0.491  0.516  0.234
B  0.286  0.407  0.103
B  0.345  0.026  0.532
B  0.516  0.491  0.734
B  0.384  0.056  0.035
C  0.463  0.079  0.298
C  0.609  0.866  0.320
C  0.939  0.002  0.119
C  0.866  0.609  0.820
C  0.557  0.953  0.798
C  0.079  0.463  0.798
C  0.030  0.069  0.718
C  0.953  0.557  0.298
C  0.069  0.030  0.218
C  0.074  0.615  0.389
C  0.615  0.074  0.889
C  0.002  0.939  0.619
Al  0.583  0.619  0.961
Al  0.619  0.583  0.461

Calculated values
Final energy (eV/cell): -607.7
Space group: Cc

Repeat the first record exactly.
Material: MgCoPd
Method: DFT, PBE-GGA
State: relaxed

Unit cell a=4.201 b=4.201 c=4.201 alpha=60.00 beta=60.00 gamma=60.00
Element x y z (fractional)
Co  0.250  0.250  0.250
Mg  0.750  0.750  0.750
Pd  0.000  0.000  0.000

Calculated values
Final energy (eV/cell): -13.3
Space group: F-43m